(A)
Tc2As2O5 | PBE-GGA | optimized geometry

abc: 4.037 4.037 6.419
angles: 90.00 90.00 90.00
Space group P4/mmm (No. 123)
Symmetry-distinct sites (fractional):
Tc 0.000 0.000 0.000
Tc 0.000 0.000 0.500
As 0.500 0.500 0.208
O 0.000 0.500 0.200
O 0.500 0.500 0.500

---

(B)
Tc2As2O5 | PBE-GGA | optimized geometry

abc: 3.864 3.864 6.700
angles: 90.00 90.00 90.00
Space group P4/mmm (No. 123)
Symmetry-distinct sites (fractional):
Tc 0.000 0.000 0.179
As 0.500 0.500 0.000
As 0.500 0.500 0.500
O 0.000 0.000 0.500
O 0.000 0.500 0.256

---

It is (B) that is the most stable of them.

---

(A)
TcTeAsO | PBE-GGA | optimized geometry

abc: 3.734 7.147 6.564
angles: 90.00 90.00 90.00
Space group Pmc2_1 (No. 26)
Symmetry-distinct sites (fractional):
Tc 0.000 0.193 0.000
Te 0.500 0.343 0.534
As 0.000 0.125 0.366
O 0.500 0.200 0.000

---

(B)
TcTeAsO | PBE-GGA | optimized geometry

abc: 4.156 4.156 9.094
angles: 90.00 90.00 90.00
Space group P4/nmm (No. 129, origin choice 2)
Symmetry-distinct sites (fractional):
Tc 0.250 0.250 0.048
Te 0.250 0.750 0.500
As 0.250 0.250 0.781
O 0.250 0.750 0.000

---

(C)
TcTeAsO | PBE-GGA | optimized geometry

abc: 5.452 5.461 9.245
angles: 90.00 90.00 90.00
Space group Cmme (No. 67)
Symmetry-distinct sites (fractional):
Tc 0.250 0.000 0.000
Te 0.000 0.250 0.361
As 0.000 0.250 0.823
O 0.250 0.000 0.500

---

It is (A) that is the most stable of them.

---

(A)
TcTeAsO | PBE-GGA | optimized geometry

abc: 4.041 4.041 9.416
angles: 90.00 90.00 90.00
Space group P4/nmm (No. 129, origin choice 2)
Symmetry-distinct sites (fractional):
Tc 0.250 0.250 0.075
Te 0.250 0.750 0.500
As 0.250 0.250 0.807
O 0.250 0.750 0.000

---

(B)
TcTeAsO | PBE-GGA | optimized geometry

abc: 4.224 5.688 7.446
angles: 90.00 90.00 90.00
Space group Pmc2_1 (No. 26)
Symmetry-distinct sites (fractional):
Tc 0.000 0.004 0.000
Te 0.500 0.298 0.571
As 0.500 0.240 0.951
O 0.000 0.049 0.251

---

It is (B) that is the most stable of them.